Computed, not measured: a relaxed La2GaP3 crystal at the PBE level of DFT.

Calculated values
**Energy**: -5.916 eV/atom
**DFT formation energy**: -103 kJ per mole of atoms

The structure in extended XYZ format:
```
24
Lattice="3.1833 -6.5114 0.0000 3.1833 6.5114 0.0000 -1.0793 0.0000 14.0939" Properties=species:S:1:pos:R:3 pbc="T T T"
La 1.1052 2.7484 4.8196
La 0.5659 1.2978 13.0958
La 1.1055 -1.2978 6.0488
La 0.5655 -2.7484 11.8665
La 4.7218 2.7484 2.2274
La 4.1819 1.2978 8.0451
La 4.7215 -1.2978 0.9981
La 4.1822 -2.7484 9.2743
Ga 1.6061 0.0528 2.1730
Ga 1.0664 -0.0528 9.2200
Ga 4.2209 0.0528 4.8739
Ga 3.6813 -0.0528 11.9209
P 2.3739 6.1168 10.5704
P 1.7899 2.4270 1.8348
P 0.9318 1.3554 7.3490
P 1.4714 -1.3554 0.3021
P 2.3739 1.3644 10.5704
P 1.2502 -2.4270 8.8817
P 4.0371 2.4270 5.2122
P 2.9135 -1.3644 3.5235
P 3.8160 1.3554 13.7918
P 4.3556 -1.3554 6.7449
P 3.4975 -2.4270 12.2591
P 2.9135 -6.1168 3.5235
```


Computed, not measured: a relaxed Te3As5 crystal at the PBE level of DFT.

Calculated values
**ΔE_f (raw)**: 0.192 eV/atom
**Energy**: -3.892 eV/atom
**Distance to the lowest polymorph of the same formula**: 0 meV/atom

The structure in extended XYZ format:
```
16
Lattice="4.5179 -6.3924 0.0000 4.5179 6.3924 0.0000 -2.8785 0.0000 9.3442" Properties=species:S:1:pos:R:3 pbc="T T T"
Te 0.0000 0.0000 0.0000
Te 0.1993 1.3779 5.6766
Te 2.7890 2.1460 0.6267
Te 0.1993 -1.3779 5.6766
Te 2.7890 -2.1460 0.6267
Te 3.5581 0.0000 3.9960
As -0.0561 1.1742 3.0354
As 1.4556 3.6624 8.4110
As -0.0561 -1.1742 3.0354
As 4.8885 1.2384 1.9562
As 4.0917 1.8471 6.9986
As 3.5663 0.0000 8.6588
As 4.8885 -1.2384 1.9562
As 1.4556 -3.6624 8.4110
As 5.4892 0.0000 5.8688
As 4.0917 -1.8471 6.9986
```


Computed, not measured: a relaxed Y2Cu2Bi crystal at the PBE level of DFT.

Calculated values
**Energy**: -5.140 eV/atom
**DFT formation energy**: -13 kJ per mole of atoms
**Distance to the lowest polymorph of the same formula**: 296 meV/atom

The structure in extended XYZ format:
```
10
Lattice="8.2580 0.0000 0.0000 0.0000 8.2580 0.0000 0.0000 0.0000 3.5553" Properties=species:S:1:pos:R:3 pbc="T T T"
Y 1.3685 2.7606 0.0000
Y 2.7606 6.8896 0.0000
Y 5.4975 1.3685 0.0000
Y 6.8896 5.4975 0.0000
Cu 0.9577 5.0867 1.7776
Cu 3.1713 0.9577 1.7776
Cu 5.0867 7.3003 1.7776
Cu 7.3003 3.1713 1.7776
Bi 0.0000 0.0000 0.0000
Bi 4.1290 4.1290 0.0000
```


Computed, not measured: a relaxed FeP2SI crystal at the PBE level of DFT.

Calculated values
**ΔE_f (raw)**: 0.529 eV/atom
**Energy**: -4.463 eV/atom
**Distance to the lowest polymorph of the same formula**: 0 meV/atom

The structure in extended XYZ format:
```
5
Lattice="4.6517 0.0000 0.0000 0.0000 4.6517 0.0000 0.0000 0.0000 4.3276" Properties=species:S:1:pos:R:3 pbc="T T T"
Fe 0.0000 0.0000 0.0000
P 0.0000 2.3258 0.0000
P 2.3258 0.0000 0.0000
S 0.0000 0.0000 2.1638
I 2.3258 2.3258 2.1638
```


Computed, not measured: a relaxed KMg2Cd6 crystal at the PBE level of DFT.

Calculated values
**Energy**: -0.858 eV/atom
**DFT formation energy**: 22 kJ per mole of atoms
**Distance to the lowest polymorph of the same formula**: 257 meV/atom

The structure in extended XYZ format:
```
18
Lattice="0.0000 6.6353 6.6353 6.6353 0.0000 6.6353 6.6353 6.6353 0.0000" Properties=species:S:1:pos:R:3 pbc="T T T"
K 1.6588 1.6588 1.6588
K 11.6118 11.6118 11.6118
Mg 6.6353 3.3177 3.3177
Mg 3.3177 6.6353 3.3177
Mg 3.3177 3.3177 6.6353
Mg 6.6353 6.6353 6.6353
Cd 4.9765 4.9765 1.7251
Cd 4.9765 1.7251 4.9765
Cd 8.2279 4.9765 4.9765
Cd 8.2942 8.2942 5.0428
Cd 8.2942 5.0428 8.2942
Cd 11.5456 8.2942 8.2942
Cd 1.7251 4.9765 4.9765
Cd 4.9765 8.2279 4.9765
Cd 4.9765 4.9765 8.2279
Cd 5.0428 8.2942 8.2942
Cd 8.2942 11.5456 8.2942
Cd 8.2942 8.2942 11.5456
```


Computed, not measured: a relaxed CsSi2O crystal at the PBE level of DFT.

Calculated values
**ΔE_f (raw)**: 0.073 eV/atom
**Energy**: -4.092 eV/atom

The structure in extended XYZ format:
```
16
Lattice="5.0779 0.0000 0.0000 0.0000 5.0779 0.0000 0.0000 0.0000 14.7651" Properties=species:S:1:pos:R:3 pbc="T T T"
Cs 0.0000 1.2695 5.5369
Cs 0.0000 3.8085 9.2282
Cs 2.5390 1.2695 1.8456
Cs 2.5390 3.8085 12.9195
Si 0.0000 0.0000 0.0000
Si 0.0000 2.5390 0.0000
Si 1.2695 1.2695 11.0739
Si 1.2695 3.8085 3.6913
Si 2.5390 0.0000 7.3826
Si 2.5390 2.5390 7.3826
Si 3.8085 1.2695 11.0739
Si 3.8085 3.8085 3.6913
O 0.0000 1.2695 12.9195
O 0.0000 3.8085 1.8456
O 2.5390 1.2695 9.2282
O 2.5390 3.8085 5.5369
```